Compound: Nd4Se3S2
Source: Alexandria
Functional: GGA-PBE
Structure: optimized geometry

Cell lengths 8.3935, 14.5272, 7.9937 Å; angles 90.00, 90.00, 90.00 degrees
With the nearest neighbours (Å) after each atom.
Space group Cmce (No. 64)
Symmetry-distinct sites (fractional):
Nd: 0.0000 0.2098 0.0329  2 S 2.92-3.11, 5 Se 3.01-3.09
Nd: 0.2500 0.0008 0.7500  2 S 2.82, 3 Se 2.90-2.91
Se: 0.0000 0.0000 0.0000  6 Nd 2.90-3.06
Se: 0.2500 0.2012 0.7500  5 Nd 2.91-3.09
S: 0.0000 0.1090 0.3759  4 Nd 2.82-3.11

Properties
total magnetization = 0.00 μB per formula unit
E = -5.976 eV per atom
formation energy without anion corrections = -1.778 eV/atom
excess energy over the best structure of this formula in the dataset = 0.44 eV/f.u.

Compound: SbI2BrO
Source: Alexandria
Functional: GGA-PBE
Structure: optimized geometry

Cell lengths 5.7862, 5.7862, 5.6992 Å; angles 90.00, 90.00, 90.00 degrees
With the nearest neighbours (Å) after each atom.
Space group P4/mmm (No. 123)
Symmetry-distinct sites (fractional):
Sb: 0.0000 0.0000 0.0000  2 Br 2.85
I: 0.0000 0.5000 0.5000  2 Br 2.89
Br: 0.0000 0.0000 0.5000  2 Sb 2.85, 4 I 2.89
O: 0.5000 0.5000 0.0000  8 I 4.06, 4 Sb 4.09

Properties
total magnetization = 0.00 μB per formula unit
E = -1.526 eV per atom
formation energy without anion corrections = 1.244 eV/atom
excess energy over the best structure of this formula in the dataset = 6.75 eV/f.u.

Compound: U4C3O
Source: Alexandria
Functional: GGA-PBE
Structure: optimized geometry

Cell lengths 6.8954, 9.8735, 3.5233 Å; angles 90.00, 90.00, 90.00 degrees
With the nearest neighbours (Å) after each atom.
Space group Cmmm (No. 65)
Symmetry-distinct sites (fractional):
U: 0.0000 0.2497 0.0000  5 C 2.46-2.47, 1 O 2.47
U: 0.2502 0.0000 0.5000  2 O 2.46, 4 C 2.47
C: 0.0000 0.0000 0.0000  6 U 2.47
C: 0.2500 0.2500 0.5000  6 U 2.46-2.47
O: 0.0000 0.5000 0.0000  6 U 2.46-2.47

Properties
total magnetization = 3.11 μB per formula unit
E = -10.447 eV per atom
formation energy without anion corrections = -0.724 eV/atom

Compound: TbDy7Er3
Source: Alexandria
Functional: GGA-PBE
Structure: optimized geometry

Cell lengths 6.9221, 5.4934, 9.8184 Å; angles 90.00, 110.26, 90.00 degrees
With the nearest neighbours (Å) after each atom.
Space group P2/m (No. 10)
Symmetry-distinct sites (fractional):
Tb: 0.0000 0.0000 0.0000  2 Er 3.46, 10 Dy 3.51-3.77
Dy: 0.0000 0.0000 0.5000  4 Er 3.36
Dy: 0.1463 0.5000 0.7909  3 Dy 3.23-3.53, 2 Er 3.30-3.31
Dy: 0.3224 0.5000 0.1418  5 Dy 3.23-3.53, 2 Er 3.49, 2 Tb 3.51
Dy: 0.4188 0.0000 0.3309  3 Dy 3.11-3.25, 1 Er 3.48
Er: 0.2786 0.5000 0.4987  1 Er 3.06, 4 Dy 3.30-3.36
Er: 0.5000 0.0000 0.0000  2 Tb 3.46, 10 Dy 3.48-3.78

Properties
total magnetization = 0.01 μB per formula unit
E = -4.449 eV per atom
energy relative to the elements = 0.1445 eV per atom

Compound: Mg6In2Bi
Source: Alexandria
Functional: GGA-PBE
Structure: optimized geometry

Cell lengths 14.5357, 11.0805, 5.5508 Å; angles 90.00, 102.83, 90.00 degrees
With the nearest neighbours (Å) after each atom.
Space group C2/c (No. 15)
Symmetry-distinct sites (fractional):
Mg: 0.0536 0.1223 0.0288  5 Mg 3.10-3.19, 4 In 3.11-3.24, 1 Bi 3.22
Mg: 0.1150 0.3697 0.3103  2 In 3.11-3.13, 5 Mg 3.12-3.29, 3 Bi 3.19-3.25
Mg: 0.2281 0.3741 0.8584  5 Mg 3.10-3.29, 4 In 3.13-3.19, 1 Bi 3.24
In: 0.1657 0.1240 0.5860  10 Mg 3.11-3.24
Bi: 0.0000 0.3761 0.7500  10 Mg 3.19-3.25

Properties
total magnetization = 0.00 μB per formula unit
E = -2.168 eV per atom
energy relative to the elements = -0.0648 eV per atom

Compound: Dy2IrRh3
Source: Alexandria
Functional: GGA-PBE
Structure: optimized geometry

Cell lengths 5.3358, 5.3358, 8.7258 Å; angles 90.00, 90.00, 120.00 degrees
With the nearest neighbours (Å) after each atom.
Space group P6_3/mmc (No. 194)
Symmetry-distinct sites (fractional):
Dy: 0.3333 0.6667 0.0659  9 Rh 3.11-3.15, 3 Ir 3.13, 4 Dy 3.21-3.29
Ir: 0.0000 0.0000 0.0000  6 Rh 2.68
Rh: 0.1688 0.3377 0.7500  4 Rh 2.63-2.70, 2 Ir 2.68

Properties
total magnetization = 0.00 μB per formula unit
E = -7.438 eV per atom
energy relative to the elements = -0.7512 eV per atom
excess energy over the best structure of this formula in the dataset = 0.09 eV/f.u.

Compound: BeV3Cl
Source: Alexandria
Functional: GGA-PBE
Structure: optimized geometry

Cell lengths 4.2112, 4.2112, 4.2112 Å; angles 90.00, 90.00, 90.00 degrees
With the nearest neighbours (Å) after each atom.
Space group Pm-3m (No. 221)
Symmetry-distinct sites (fractional):
Be: 0.0000 0.0000 0.0000  12 V 2.98
V: 0.0000 0.5000 0.5000  2 Cl 2.11
Cl: 0.5000 0.5000 0.5000  6 V 2.11

Properties
total magnetization = 2.15 μB per formula unit
E = -5.870 eV per atom
formation energy without anion corrections = 0.715 eV/atom
excess energy over the best structure of this formula in the dataset = 0.00 eV/f.u.

Compound: Zr2BiAu2
Source: Alexandria
Functional: GGA-PBE
Structure: optimized geometry

Cell lengths 7.9595, 7.9595, 3.5890 Å; angles 90.00, 90.00, 90.00 degrees
With the nearest neighbours (Å) after each atom.
Space group P4/mbm (No. 127)
Symmetry-distinct sites (fractional):
Zr: 0.1615 0.3385 0.0000  6 Au 2.94-2.95, 2 Bi 2.99
Bi: 0.0000 0.0000 0.0000  4 Zr 2.99
Au: 0.1315 0.6315 0.5000  6 Zr 2.94-2.95, 1 Au 2.96

Properties
total magnetization = 0.00 μB per formula unit
E = -5.790 eV per atom
energy relative to the elements = -0.2835 eV per atom
excess energy over the best structure of this formula in the dataset = 0.26 eV/f.u.